Material: LiPmBiPb
Method: DFT, PBE
State: optimized geometry

Structure (POSCAR):
```
LiPmBiPb
1.0
0.000 3.831 3.831
3.831 0.000 3.831
3.831 3.831 0.000
Li Pm Bi Pb
1 1 1 1
Direct
0.000 0.000 0.000 Li
0.500 0.500 0.500 Pm
0.250 0.250 0.250 Bi
0.750 0.750 0.750 Pb
```

Properties
- DOS at the Fermi energy: 3.753 states/eV/f.u.
- Formation enthalpy at 0 K: -0.374 eV per atom
- Calculated total energy: -15.75 eV/cell

***

Material: Li2BiPbS4
Method: DFT, PBE
State: optimized geometry

Structure (POSCAR):
```
Li2BiPbS4
1.0
-3.911 3.927 5.570
3.911 -3.927 5.570
3.911 3.927 -5.570
Li Bi Pb S
4 2 2 8
Direct
0.000 0.000 0.000 Li
0.500 0.000 0.000 Li
0.500 0.000 0.500 Li
0.500 0.500 0.500 Li
0.000 0.500 0.500 Bi
0.500 0.500 0.000 Bi
0.000 0.000 0.500 Pb
0.000 0.500 0.000 Pb
0.257 0.247 0.490 S
0.257 0.767 0.010 S
0.261 0.246 0.015 S
0.269 0.754 0.515 S
0.731 0.246 0.485 S
0.739 0.754 0.985 S
0.743 0.233 0.990 S
0.743 0.753 0.510 S
```

Properties
- DOS at the Fermi energy: 2.264 states/eV/f.u.
- Calculated total energy: -66.72 eV/cell
- ΔE_f (raw): -5.432 eV/f.u.

***

Material: Li2BiPbSe4
Method: DFT, PBE
State: optimized geometry

Structure (POSCAR):
```
Li2BiPbSe4
1.0
7.030 0.000 0.000
0.000 4.107 0.000
-2.450 0.000 6.696
Li Bi Pb Se
2 1 1 4
Direct
0.000 0.000 0.000 Li
0.000 0.500 0.500 Li
0.500 0.000 0.500 Bi
0.500 0.500 0.000 Pb
0.227 0.000 0.736 Se
0.230 0.500 0.247 Se
0.770 0.500 0.753 Se
0.773 0.000 0.264 Se
```

Properties
- DOS at the Fermi energy: 2.603 states/eV/f.u.
- Calculated total energy: -30.81 eV/cell
- ΔE_f (raw): -5.458 eV/f.u.

***

Material: LiBiPbSe3
Method: DFT, PBE
State: optimized geometry

Structure (POSCAR):
```
LiBiPbSe3
1.0
8.803 0.000 0.000
0.000 4.189 0.000
-1.795 0.000 8.851
Li Bi Pb Se
2 2 2 6
Direct
0.083 0.250 0.087 Li
0.917 0.750 0.913 Li
0.326 0.750 0.342 Bi
0.674 0.250 0.658 Bi
0.195 0.250 0.745 Pb
0.805 0.750 0.255 Pb
0.106 0.250 0.377 Se
0.213 0.750 0.006 Se
0.428 0.750 0.673 Se
0.572 0.250 0.327 Se
0.787 0.250 0.994 Se
0.894 0.750 0.623 Se
```

Properties
- Calculated total energy: -47.36 eV/cell
- ΔE_f (raw): -3.722 eV/f.u.

***

Material: LiBiPb2Se4
Method: DFT, PBE
State: optimized geometry

Structure (POSCAR):
```
LiBiPb2Se4
1.0
7.313 0.000 0.000
0.000 4.278 0.000
-2.369 0.000 6.966
Li Bi Pb Se
1 1 2 4
Direct
0.000 0.000 0.000 Li
0.500 0.500 0.000 Bi
0.000 0.500 0.500 Pb
0.500 0.000 0.500 Pb
0.240 0.500 0.232 Se
0.246 0.000 0.770 Se
0.754 0.000 0.230 Se
0.760 0.500 0.768 Se
```

Properties
- DOS at the Fermi energy: 0.284 states/eV/f.u.
- Calculated total energy: -32.10 eV/cell
- ΔE_f (raw): -4.950 eV/f.u.

***

Material: Li2Bi3PbSe6
Method: DFT, PBE
State: optimized geometry

Structure (POSCAR):
```
Li2Bi3PbSe6
1.0
9.079 -2.126 0.000
9.079 2.126 0.000
-1.588 0.000 8.387
Li Bi Pb Se
2 3 1 6
Direct
0.170 0.170 0.310 Li
0.830 0.830 0.690 Li
0.168 0.168 0.828 Bi
0.500 0.500 0.500 Bi
0.832 0.832 0.172 Bi
0.500 0.500 0.000 Pb
0.008 0.008 0.263 Se
0.329 0.329 0.906 Se
0.332 0.332 0.406 Se
0.668 0.668 0.594 Se
0.671 0.671 0.094 Se
0.992 0.992 0.737 Se
```

Properties
- DOS at the Fermi energy: 3.518 states/eV/f.u.
- Calculated total energy: -46.94 eV/cell
- ΔE_f (raw): -6.855 eV/f.u.

***

Material: Li4SnBi3Pb2
Method: DFT, PBE
State: optimized geometry

Structure (POSCAR):
```
Li4SnBi3Pb2
1.0
4.498 0.000 0.000
0.000 4.498 0.000
0.000 0.000 12.996
Li Sn Bi Pb
4 1 3 2
Direct
0.000 0.000 0.000 Li
0.000 0.500 0.353 Li
0.500 0.000 0.647 Li
0.500 0.500 0.000 Li
0.500 0.500 0.500 Sn
0.000 0.000 0.500 Bi
0.000 0.500 0.144 Bi
0.500 0.000 0.856 Bi
0.000 0.500 0.762 Pb
0.500 0.000 0.238 Pb
```

Properties
- DOS at the Fermi energy: 3.723 states/eV/f.u.
- Formation enthalpy at 0 K: -0.215 eV per atom
- Calculated total energy: -32.86 eV/cell

***

Material: LiSnBiPb
Method: DFT, PBE
State: optimized geometry

Structure (POSCAR):
```
LiSnBiPb
1.0
4.539 0.000 0.000
0.000 1.710 7.269
0.000 -1.710 7.269
Li Sn Bi Pb
1 1 1 1
Direct
0.000 0.000 0.000 Li
0.500 0.618 0.618 Sn
0.500 0.410 0.410 Bi
0.000 0.237 0.237 Pb
```

Properties
- DOS at the Fermi energy: 1.172 states/eV/f.u.
- Formation enthalpy at 0 K: -0.131 eV per atom
- Calculated total energy: -14.03 eV/cell

***

Material: Sr2Li4Bi3Pb
Method: DFT, PBE
State: optimized geometry

Structure (POSCAR):
```
Sr2Li4Bi3Pb
1.0
4.701 0.000 0.000
0.000 4.701 0.000
0.000 0.000 12.374
Sr Li Bi Pb
2 4 3 1
Direct
0.000 0.500 0.239 Sr
0.500 0.000 0.761 Sr
0.000 0.000 0.000 Li
0.000 0.500 0.642 Li
0.500 0.000 0.358 Li
0.500 0.500 0.000 Li
0.000 0.500 0.862 Bi
0.500 0.000 0.138 Bi
0.500 0.500 0.500 Bi
0.000 0.000 0.500 Pb
```

Properties
- DOS at the Fermi energy: 2.266 states/eV/f.u.
- Formation enthalpy at 0 K: -0.609 eV per atom
- Calculated total energy: -32.46 eV/cell

***

Material: Sr3Li2Bi4Pb2
Method: DFT, PBE
State: optimized geometry

Structure (POSCAR):
```
Sr3Li2Bi4Pb2
1.0
4.862 0.000 0.000
-2.431 4.211 0.000
0.000 0.000 18.306
Sr Li Bi Pb
3 2 4 2
Direct
0.000 0.000 0.000 Sr
0.000 0.000 0.237 Sr
0.000 0.000 0.763 Sr
0.333 0.667 0.122 Li
0.667 0.333 0.878 Li
0.333 0.667 0.344 Bi
0.333 0.667 0.882 Bi
0.667 0.333 0.118 Bi
0.667 0.333 0.656 Bi
0.333 0.667 0.573 Pb
0.667 0.333 0.427 Pb
```

Properties
- DOS at the Fermi energy: 0.530 states/eV/f.u.
- Formation enthalpy at 0 K: -0.587 eV per atom
- Calculated total energy: -38.27 eV/cell

***

Material: SrLiBiPb
Method: DFT, PBE
State: optimized geometry

Structure (POSCAR):
```
SrLiBiPb
1.0
0.000 3.929 3.929
3.929 0.000 3.929
3.929 3.929 0.000
Sr Li Bi Pb
1 1 1 1
Direct
0.000 0.000 0.000 Sr
0.500 0.500 0.500 Li
0.250 0.250 0.250 Bi
0.750 0.750 0.750 Pb
```

Properties
- DOS at the Fermi energy: 2.216 states/eV/f.u.
- Formation enthalpy at 0 K: -0.404 eV per atom
- Calculated total energy: -12.80 eV/cell

***

Material: LiBiTe3Pb
Method: DFT, PBE
State: optimized geometry

Structure (POSCAR):
```
LiBiTe3Pb
1.0
9.248 0.000 0.000
0.000 4.444 0.000
-1.917 0.000 9.517
Li Bi Te Pb
2 2 6 2
Direct
0.079 0.250 0.090 Li
0.921 0.750 0.910 Li
0.325 0.750 0.350 Bi
0.675 0.250 0.650 Bi
0.100 0.250 0.384 Te
0.226 0.750 0.008 Te
0.427 0.750 0.673 Te
0.573 0.250 0.327 Te
0.774 0.250 0.992 Te
0.900 0.750 0.616 Te
0.192 0.250 0.755 Pb
0.808 0.750 0.245 Pb
```

Properties
- Calculated total energy: -43.02 eV/cell
- ΔE_f (raw): -2.581 eV/f.u.

***

- Which value of calculated total energy does entry 9 give?
  -32.46 eV/cell

***

- calculated total energy of number 10 (Sr3Li2Bi4Pb2)?
  -38.27 eV/cell